Entry 1:
A relaxed Ba4TePtCl2 crystal. Source: the Alexandria database, functional PBE.

Computed properties:
Its space group is P2/m, No. 10. The formation energy (no corrections) is -1.55 eV per atom. Its total magnetization is 0.0003 μB/atom. The crystal system is monoclinic. The calculation puts the volume at 38.49 Å³ per atom.

Cell: 8.1587 4.6681 8.4838 Å, 90.00 107.63 90.00°
With the nearest neighbours (Å) after each atom.
Sites, in units of the cell vectors:
Ba (0.2321, 0.0000, 0.2723)  1 Pt 3.09, 2 Cl 3.38, 2 Te 3.42
Ba (0.2343, 0.5000, 0.7251)  2 Pt 3.25, 3 Cl 3.29-3.54, 1 Te 3.43
Ba (0.7657, 0.5000, 0.2749)  2 Pt 3.25, 3 Cl 3.29-3.54, 1 Te 3.43
Ba (0.7679, 0.0000, 0.7277)  1 Pt 3.09, 2 Cl 3.38, 2 Te 3.42
Te (0.0000, 0.5000, 0.0000)  6 Ba 3.42-3.43
Pt (0.0000, 0.0000, 0.5000)  6 Ba 3.09-3.25
Cl (0.5000, 0.0000, 0.0000)  6 Ba 3.54-3.63
Cl (0.5000, 0.5000, 0.5000)  6 Ba 3.29-3.38

***

Entry 2:
A relaxed CuTe2Mo crystal. Source: the Alexandria database, functional PBE.

Computed properties:
Its space group is F-43m, No. 216. The calculation puts the energy relative to the lowest polymorph listed for this composition at 811 meV per atom. The formation energy (no corrections) is 0.91 eV per atom. Its total magnetization is 0.5889 μB/atom. The crystal system is cubic. The calculation puts the volume at 21.20 Å³ per atom.

Cell: 4.9314 4.9314 4.9314 Å, 60.00 60.00 60.00°
With the nearest neighbours (Å) after each atom.
Sites, in units of the cell vectors:
Cu (0.0000, 0.0000, 0.0000)  4 Mo 3.02, 4 Te 3.02
Te (0.2500, 0.2500, 0.2500)  4 Te 3.02, 4 Cu 3.02
Te (0.5000, 0.5000, 0.5000)  4 Mo 3.02, 4 Te 3.02
Mo (0.7500, 0.7500, 0.7500)  4 Te 3.02, 4 Cu 3.02

***

Entry 3:
A relaxed LiTbSi2Pt2 crystal. Source: the Alexandria database, functional PBE.

Computed properties:
Its space group is P-3m1, No. 164. The formation energy (no corrections) is -0.98 eV per atom. Its total magnetization is 0.0000 μB/atom. The crystal system is trigonal. The calculation puts the volume at 16.94 Å³ per atom.

Cell: 4.2100 4.2100 6.6222 Å, 90.00 90.00 120.00°
With the nearest neighbours (Å) after each atom.
Sites, in units of the cell vectors:
Li (0.0000, 0.0000, 0.0000)  6 Si 2.74, 6 Pt 2.77
Tb (0.0000, 0.0000, 0.5000)  6 Pt 3.13, 6 Si 3.17, 2 Li 3.31
Si (0.3333, 0.6667, 0.8082)  4 Pt 2.43-2.61
Si (0.6667, 0.3333, 0.1918)  4 Pt 2.43-2.61
Pt (0.3333, 0.6667, 0.2018)  4 Si 2.43-2.61
Pt (0.6667, 0.3333, 0.7982)  4 Si 2.43-2.61

***

Entry 4:
A relaxed Be2HgIr crystal. Source: the Alexandria database, functional PBE.

Computed properties:
Its space group is R-3m, No. 166. Its total magnetization is 0.0000 μB/atom. The crystal system is trigonal. Its formation energy is 0.163 eV per atom. The calculation puts the volume at 14.29 Å³ per atom.

Cell: 8.1173 8.1173 8.1173 Å, 20.46 20.46 20.46°
With the nearest neighbours (Å) after each atom.
Sites, in units of the cell vectors:
Be (0.2350, 0.2350, 0.2350)  3 Ir 2.33
Be (0.7650, 0.7650, 0.7650)  3 Ir 2.33
Hg (0.0000, 0.0000, 0.0000)  6 Be 2.87, 6 Hg 2.88
Ir (0.5000, 0.5000, 0.5000)  6 Be 2.33

***

Entry 5:
A relaxed Pa2Se3N crystal. Source: the Alexandria database, functional PBE.

Computed properties:
Its space group is Ibam, No. 72. The calculation puts the energy relative to the lowest polymorph listed for this composition at 189 meV per atom. The formation energy (no corrections) is -1.29 eV per atom. Its total magnetization is 0.1818 μB/atom. The crystal system is orthorhombic. The calculation puts the volume at 25.26 Å³ per atom.

Cell: 8.0813 8.0813 8.0813 Å, 132.31 73.85 127.24°
With the nearest neighbours (Å) after each atom.
Sites, in units of the cell vectors:
Pa (0.1142, 0.2243, 0.3385)  1 N 2.08
Pa (0.3858, 0.7243, 0.1102)  1 N 2.08
Pa (0.6142, 0.2757, 0.8898)  1 N 2.08
Pa (0.8858, 0.7757, 0.6615)  1 N 2.08
Se (0.0061, 0.2500, 0.7561)  4 Pa 2.86-3.14
Se (0.2500, 0.7500, 0.5000)  4 Pa 2.94
Se (0.4939, 0.2500, 0.2439)  4 Pa 2.86-3.14
Se (0.5061, 0.7500, 0.7561)  4 Pa 2.86-3.14
Se (0.7500, 0.2500, 0.5000)  4 Pa 2.94
Se (0.9939, 0.7500, 0.2439)  4 Pa 2.86-3.14
N (0.0000, 0.0000, 0.0000)  2 Pa 2.08
N (0.5000, 0.5000, 0.0000)  2 Pa 2.08

***

Entry 6:
A relaxed Er3Cr5Te12 crystal. Source: the Alexandria database, functional PBE.

Computed properties:
Its space group is Ia-3d, No. 230. The formation energy (no corrections) is -0.45 eV per atom. Its total magnetization is 0.7499 μB/atom. The crystal system is cubic. The calculation puts the volume at 29.99 Å³ per atom.

Cell: 14.6069 14.6069 14.6069 Å, 109.47 109.47 109.47°
With the nearest neighbours (Å) after each atom.
Sites, in units of the cell vectors:
Er (0.1250, 0.2500, 0.3750)  8 Te 3.23-3.24
Er (0.1250, 0.3750, 0.7500)  8 Te 3.23-3.24
Er (0.2500, 0.3750, 0.1250)  8 Te 3.23-3.24
Er (0.2500, 0.8750, 0.6250)  8 Te 3.23-3.24
Er (0.3750, 0.1250, 0.2500)  8 Te 3.23-3.24
Er (0.3750, 0.7500, 0.1250)  8 Te 3.23-3.24
Er (0.6250, 0.2500, 0.8750)  8 Te 3.23-3.24
Er (0.6250, 0.8750, 0.7500)  8 Te 3.23-3.24
Er (0.7500, 0.1250, 0.3750)  8 Te 3.23-3.24
Er (0.7500, 0.6250, 0.8750)  8 Te 3.23-3.24
Er (0.8750, 0.6250, 0.2500)  8 Te 3.23-3.24
Er (0.8750, 0.7500, 0.6250)  8 Te 3.23-3.24
Cr (0.0000, 0.0000, 0.0000)  6 Te 2.76
Cr (0.0000, 0.0000, 0.5000)  6 Te 2.76
Cr (0.0000, 0.5000, 0.0000)  6 Te 2.76
Cr (0.0000, 0.5000, 0.5000)  6 Te 2.76
Cr (0.1250, 0.7500, 0.8750)  4 Te 2.60
Cr (0.1250, 0.8750, 0.2500)  4 Te 2.60
Cr (0.2500, 0.1250, 0.8750)  4 Te 2.60
Cr (0.2500, 0.6250, 0.3750)  4 Te 2.60
Cr (0.3750, 0.2500, 0.6250)  4 Te 2.60
Cr (0.3750, 0.6250, 0.7500)  4 Te 2.60
Cr (0.5000, 0.0000, 0.0000)  6 Te 2.76
Cr (0.5000, 0.0000, 0.5000)  6 Te 2.76
Cr (0.5000, 0.5000, 0.0000)  6 Te 2.76
Cr (0.5000, 0.5000, 0.5000)  6 Te 2.76
Cr (0.6250, 0.3750, 0.2500)  4 Te 2.60
Cr (0.6250, 0.7500, 0.3750)  4 Te 2.60
Cr (0.7500, 0.3750, 0.6250)  4 Te 2.60
Cr (0.7500, 0.8750, 0.1250)  4 Te 2.60
Cr (0.8750, 0.1250, 0.7500)  4 Te 2.60
Cr (0.8750, 0.2500, 0.1250)  4 Te 2.60
Te (0.0350, 0.2106, 0.1224)  2 Cr 2.60-2.76
Te (0.0350, 0.3244, 0.9126)  2 Cr 2.60-2.76
Te (0.0874, 0.6224, 0.4118)  2 Cr 2.60-2.76
Te (0.0874, 0.9650, 0.6756)  2 Cr 2.60-2.76
Te (0.0882, 0.7106, 0.6756)  2 Cr 2.60-2.76
Te (0.0882, 0.8776, 0.4126)  2 Cr 2.60-2.76
Te (0.1224, 0.0350, 0.2106)  2 Cr 2.60-2.76
Te (0.1224, 0.5874, 0.9118)  2 Cr 2.60-2.76
Te (0.1756, 0.2106, 0.5882)  2 Cr 2.60-2.76
Te (0.1756, 0.4650, 0.5874)  2 Cr 2.60-2.76
Te (0.2106, 0.1224, 0.0350)  2 Cr 2.60-2.76
Te (0.2106, 0.5882, 0.1756)  2 Cr 2.60-2.76
Te (0.2894, 0.3244, 0.9118)  2 Cr 2.60-2.76
Te (0.2894, 0.4650, 0.3776)  2 Cr 2.60-2.76
Te (0.3244, 0.9118, 0.2894)  2 Cr 2.60-2.76
Te (0.3244, 0.9126, 0.0350)  2 Cr 2.60-2.76
Te (0.3776, 0.2894, 0.4650)  2 Cr 2.60-2.76
Te (0.3776, 0.5882, 0.9126)  2 Cr 2.60-2.76
Te (0.4118, 0.0874, 0.6224)  2 Cr 2.60-2.76
Te (0.4118, 0.8244, 0.7894)  2 Cr 2.60-2.76
Te (0.4126, 0.0882, 0.8776)  2 Cr 2.60-2.76
Te (0.4126, 0.8244, 0.5350)  2 Cr 2.60-2.76
Te (0.4650, 0.3776, 0.2894)  2 Cr 2.60-2.76
Te (0.4650, 0.5874, 0.1756)  2 Cr 2.60-2.76
Te (0.5350, 0.4126, 0.8244)  2 Cr 2.60-2.76
Te (0.5350, 0.6224, 0.7106)  2 Cr 2.60-2.76
Te (0.5874, 0.1756, 0.4650)  2 Cr 2.60-2.76
Te (0.5874, 0.9118, 0.1224)  2 Cr 2.60-2.76
Te (0.5882, 0.1756, 0.2106)  2 Cr 2.60-2.76
Te (0.5882, 0.9126, 0.3776)  2 Cr 2.60-2.76
Te (0.6224, 0.4118, 0.0874)  2 Cr 2.60-2.76
Te (0.6224, 0.7106, 0.5350)  2 Cr 2.60-2.76
Te (0.6756, 0.0874, 0.9650)  2 Cr 2.60-2.76
Te (0.6756, 0.0882, 0.7106)  2 Cr 2.60-2.76
Te (0.7106, 0.5350, 0.6224)  2 Cr 2.60-2.76
Te (0.7106, 0.6756, 0.0882)  2 Cr 2.60-2.76
Te (0.7894, 0.4118, 0.8244)  2 Cr 2.60-2.76
Te (0.7894, 0.8776, 0.9650)  2 Cr 2.60-2.76
Te (0.8244, 0.5350, 0.4126)  2 Cr 2.60-2.76
Te (0.8244, 0.7894, 0.4118)  2 Cr 2.60-2.76
Te (0.8776, 0.4126, 0.0882)  2 Cr 2.60-2.76
Te (0.8776, 0.9650, 0.7894)  2 Cr 2.60-2.76
Te (0.9118, 0.1224, 0.5874)  2 Cr 2.60-2.76
Te (0.9118, 0.2894, 0.3244)  2 Cr 2.60-2.76
Te (0.9126, 0.0350, 0.3244)  2 Cr 2.60-2.76
Te (0.9126, 0.3776, 0.5882)  2 Cr 2.60-2.76
Te (0.9650, 0.6756, 0.0874)  2 Cr 2.60-2.76
Te (0.9650, 0.7894, 0.8776)  2 Cr 2.60-2.76